[1]
An optimized crystal structure of CrNiSbC, computed with PBE-GGA.

Lattice parameters (Å, degrees): 3.3373 3.3373 6.1297 90.00 90.00 120.00
Space group P3m1 (No. 156)
Asymmetric unit:
Cr1 0.0000 0.0000 0.0000
Ni1 0.3333 0.6667 0.6936
Sb1 0.0000 0.0000 0.4337
C1 0.3333 0.6667 0.0064

Properties
E above lowest polymorph (eV/atom): 0.047
Total energy (eV/atom): -6.938
Magnetic moment (Bohr magnetons per cell): 1.45
Formation energy from raw total energies (eV per atom): 0.249

---

[2]
An optimized crystal structure of CrNiSbC, computed with PBE-GGA.

Lattice parameters (Å, degrees): 2.883 2.837 13.130 90.00 90.00 90.00
Space group Amm2 (No. 38)
Asymmetric unit:
Cr1 0.000 0.000 0.000
Ni1 0.500 0.000 0.155
Sb1 0.500 0.000 0.821
C1 0.500 0.000 0.545

Properties
E above lowest polymorph (eV/atom): 0.132
Total energy (eV/atom): -6.854
Magnetic moment (Bohr magnetons per cell): 2.58
Formation energy from raw total energies (eV per atom): 0.334

---

[3]
An optimized crystal structure of CrNiSbC, computed with PBE-GGA.

Lattice parameters (Å, degrees): 3.1422 3.1422 18.4228 90.00 90.00 120.00
Space group R3m (No. 160, hexagonal axes)
Asymmetric unit:
Cr1 0.0000 0.0000 0.0000
Ni1 0.0000 0.0000 0.4330
Sb1 0.0000 0.0000 0.2096
C1 0.0000 0.0000 0.7099

Properties
E above lowest polymorph (eV/atom): 0.000
Total energy (eV/atom): -6.985
Magnetic moment (Bohr magnetons per cell): 4.86
Formation energy from raw total energies (eV per atom): 0.202

---

[4]
An optimized crystal structure of CrNiSbC, computed with PBE-GGA.

Lattice parameters (Å, degrees): 3.1167 3.1167 6.5227 90.00 90.00 120.00
Space group P3m1 (No. 156)
Asymmetric unit:
Cr1 0.0000 0.0000 0.0000
Ni1 0.3333 0.6667 0.7231
Sb1 0.3333 0.6667 0.3278
C1 0.6667 0.3333 0.8570

Properties
E above lowest polymorph (eV/atom): 0.008
Total energy (eV/atom): -6.978
Magnetic moment (Bohr magnetons per cell): 1.57
Formation energy from raw total energies (eV per atom): 0.210

---

[5]
An optimized crystal structure of CrNiSbC, computed with PBE-GGA.

Lattice parameters (Å, degrees): 3.164 3.176 6.659 76.43 76.29 60.26
Space group P1 (No. 1)
Asymmetric unit:
Cr1 0.000 0.000 0.000
Ni1 0.569 0.570 0.291
Sb1 0.137 0.141 0.582
C1 0.297 0.299 0.107

Properties
E above lowest polymorph (eV/atom): 0.075
Total energy (eV/atom): -6.910
Magnetic moment (Bohr magnetons per cell): 1.82
Formation energy from raw total energies (eV per atom): 0.278

---

[6]
An optimized crystal structure of Sc2CrNiC, computed with PBE-GGA.

Lattice parameters (Å, degrees): 4.494 4.494 3.763 90.00 90.00 90.00
Space group P4/mmm (No. 123)
Asymmetric unit:
Sc1 0.000 0.500 0.000
Cr1 0.000 0.000 0.500
Ni1 0.500 0.500 0.500
C1 0.000 0.000 0.000

Properties
DFT formation energy (eV per atom): -0.2292
Total energy (eV/atom): -7.688
Magnetic moment (Bohr magnetons per cell): 1.66